(1)
YSbPtAu | PBE-GGA | relaxed

Output
- ΔE_f (raw): -0.71 eV/atom

a = 6.976 Å, b = 6.976 Å, c = 6.976 Å
α = 90.00°, β = 90.00°, γ = 90.00°
Space group F-43m (No. 216)
One atom of each set of equivalent atoms:
Y  0.000  0.000  0.000 (multiplicity 4)
Sb  0.000  0.000  0.500 (multiplicity 4)
Pt  0.250  0.250  0.750 (multiplicity 4)
Au  0.250  0.250  0.250 (multiplicity 4)

(2)
YSb2PtAu | PBE-GGA | relaxed

Output
- ΔE_f (raw): 0.79 eV/atom

a = 5.734 Å, b = 5.734 Å, c = 5.114 Å
α = 90.00°, β = 90.00°, γ = 90.00°
Space group P4/mmm (No. 123)
One atom of each set of equivalent atoms:
Y  0.000  0.000  0.000 (multiplicity 1)
Sb  0.000  0.500  0.000 (multiplicity 2)
Pt  0.000  0.000  0.500 (multiplicity 1)
Au  0.500  0.500  0.500 (multiplicity 1)

(3)
Sc11Pt4Au9 | PBE-GGA | relaxed

Output
- Energy relative to the elements: -926 meV/atom

a = 13.567 Å, b = 20.352 Å, c = 3.350 Å
α = 90.00°, β = 90.00°, γ = 90.00°
Space group Cmmm (No. 65)
One atom of each set of equivalent atoms:
Sc  0.000  0.000  0.000 (multiplicity 2)
Sc  0.000  0.169  0.000 (multiplicity 4)
Sc  0.000  0.364  0.000 (multiplicity 4)
Sc  0.224  0.500  0.000 (multiplicity 4)
Sc  0.242  0.172  0.000 (multiplicity 8)
Pt  0.153  0.403  0.500 (multiplicity 8)
Au  0.000  0.500  0.500 (multiplicity 2)
Au  0.111  0.259  0.500 (multiplicity 8)
Au  0.125  0.079  0.500 (multiplicity 8)